## TlInBr2 (PBEsol)

Data for a relaxed TlInBr2 crystal.

```
TlInBr2
1.0
3.884 0.000 0.000
0.000 3.884 0.000
0.000 0.000 7.777
Tl In Br
1 1 2
direct
0.000 0.000 0.000
0.000 0.000 0.500
0.500 0.500 0.251
0.500 0.500 0.749
```

Energy above the lowest structure with this stoichiometry: 25 meV/atom
E_form (uncorrected): -0.67 eV per atom
VASP energy: -0.2208 Ry/atom